Below is crystalline CsRbNpS3 at its relaxed geometry, with properties calculated at the GGA-PBE level.

```
CsRbNpS3
1.0
3.9623 -7.9087 0.0000
3.9623 7.9087 0.0000
-1.3102 0.0000 7.2170
Cs Rb Np S
2 2 2 6
Cartesian
2.9797 4.1180 5.4128
3.6348 -4.1180 1.8043
3.6348 1.3241 1.8043
2.9797 -1.3241 5.4128
3.6348 7.0887 1.8043
2.9797 -7.0887 5.4128
0.9796 0.5964 3.6266
3.6348 4.5554 1.8043
1.6347 -0.5964 0.0181
4.9797 0.5964 7.1989
2.9797 -4.5554 5.4128
5.6348 -0.5964 3.5904
```

- DOS at the Fermi energy: 5.839 states/eV/f.u.
- Crystal system: monoclinic
- Energy: -5.781 eV per atom
- Symmetry: C2/c
- Volume: 452.31 Å³/cell
- Energy relative to the elements, uncorrected: -1.257 eV per atom